No. 1
First-principles (meta-GGA SCAN) data for a PBEsol-optimized structure of ScCuGe3, as listed in Alexandria via LeMat-Bulk.

Cell and atoms, written as POSCAR:
```
ScCuGe3
1.0
4.990 0.000 0.000
0.000 4.990 0.000
0.000 0.000 4.990
Sc Cu Ge
1 1 3
Cartesian
0.000 0.000 0.000
2.495 2.495 2.495
0.000 0.000 2.495
0.000 2.495 0.000
2.495 0.000 0.000
```

Properties
E_form ... 0.97 eV/atom
Total energy ... -16.368 eV/atom

=====

No. 2
First-principles (meta-GGA SCAN) data for a PBEsol-optimized structure of Sc3CuGe, as listed in Alexandria via LeMat-Bulk.

Cell and atoms, written as POSCAR:
```
Sc3CuGe
1.0
4.974 0.000 0.000
0.000 4.974 0.000
0.000 0.000 4.974
Sc Cu Ge
3 1 1
Cartesian
0.000 0.000 2.487
0.000 2.487 0.000
2.487 0.000 0.000
2.487 2.487 2.487
0.000 0.000 0.000
```

Properties
E_form ... 0.19 eV/atom
Total energy ... -15.211 eV/atom

=====

No. 3
First-principles (meta-GGA SCAN) data for a PBEsol-optimized structure of Sc3Cu4Ge4, as listed in Alexandria via LeMat-Bulk.

Cell and atoms, written as POSCAR:
```
Sc3Cu4Ge4
1.0
-1.709 2.028 12.409
1.709 -2.028 12.409
1.709 2.028 -12.409
Sc Cu Ge
3 4 4
Cartesian
0.000 0.000 0.000
1.709 0.000 8.814
0.000 2.028 3.595
1.709 0.000 2.337
0.000 0.000 6.383
0.000 0.000 18.436
0.000 2.028 10.072
1.709 0.000 4.658
0.000 0.000 11.177
0.000 0.000 13.641
0.000 2.028 7.752
```

Properties
E_form ... -0.57 eV/atom
Total energy ... -16.918 eV/atom

=====

No. 4
First-principles (meta-GGA SCAN) data for a PBEsol-optimized structure of Sm3CuGeSe7, as listed in Alexandria via LeMat-Bulk.

Cell and atoms, written as POSCAR:
```
Sm3CuGeSe7
1.0
10.367 0.000 0.000
-5.184 8.978 0.000
0.000 0.000 5.991
Sm Cu Ge Se
6 2 2 14
Cartesian
-2.663 6.964 0.000
0.484 3.190 0.000
3.005 1.176 2.996
2.179 7.802 0.000
4.699 5.788 2.996
7.847 2.014 2.996
0.000 0.000 0.175
0.000 0.000 3.171
0.000 5.985 2.499
5.184 2.993 5.495
-1.703 4.635 1.522
-3.339 7.516 3.099
0.344 2.328 3.099
2.188 0.867 0.104
0.000 5.985 4.829
-0.318 8.135 1.522
2.021 5.186 1.522
3.163 3.792 4.518
5.502 0.843 4.518
5.184 2.993 1.833
2.995 8.111 3.099
4.840 6.650 0.104
8.522 1.462 0.104
6.886 4.343 4.518
```

Properties
Total energy ... -27.152 eV/atom
Energy relative to the elements, uncorrected ... -1.472 eV per atom

=====

No. 5
First-principles (meta-GGA SCAN) data for a PBEsol-optimized structure of CuSiTcGe2, as listed in Alexandria via LeMat-Bulk.

Cell and atoms, written as POSCAR:
```
CuSiTcGe2
1.0
4.552 0.000 0.000
0.000 4.552 0.000
0.000 0.000 4.312
Cu Si Tc Ge
1 1 1 2
Cartesian
0.000 0.000 0.000
0.000 0.000 2.156
2.276 2.276 2.156
0.000 2.276 0.000
2.276 0.000 0.000
```

Properties
Total energy ... -18.603 eV/atom
Energy relative to the elements, uncorrected ... 1.087 eV per atom

=====

No. 6
First-principles (meta-GGA SCAN) data for a PBEsol-optimized structure of Sm3Cu4Ge4, as listed in Alexandria via LeMat-Bulk.

Cell and atoms, written as POSCAR:
```
Sm3Cu4Ge4
1.0
-2.110 3.298 6.973
2.110 -3.298 6.973
2.110 3.298 -6.973
Sm Cu Ge
3 4 4
Cartesian
0.000 0.000 0.000
2.110 0.000 5.136
0.000 3.298 1.837
2.110 1.238 -2.335
2.110 1.238 2.335
0.000 2.060 4.638
0.000 2.060 9.309
0.000 0.000 3.018
2.110 2.042 0.000
0.000 1.256 6.973
0.000 0.000 10.928
```

Properties
E_form ... -0.71 eV/atom
Total energy ... -25.295 eV/atom